No. 1
RbTl6Pb | PBE | relaxed

POSCAR file:
```
RbTl6Pb
1.0
-3.448 -3.529 -2.478
2.141 2.368 -6.350
4.216 -5.416 1.847
Rb Tl Pb
1 6 1
Direct
0.500 0.384 0.616
0.500 0.893 0.656
0.500 0.344 0.107
0.000 0.667 0.903
0.000 0.628 0.372
0.000 0.097 0.333
0.500 0.853 0.147
0.000 0.134 0.866
```

Computed properties:
- total energy (eV/cell) = -18.9
- calculated volume (Å³ per cell) = 265.4

No. 2
MgZnPb2 | PBE | relaxed

POSCAR file:
```
MgZnPb2
1.0
4.333 0.000 0.000
0.000 3.490 -0.019
0.000 2.654 6.720
Mg Zn Pb
1 1 2
Direct
0.500 0.750 0.750
0.500 0.250 0.250
0.000 0.042 0.008
0.000 0.458 0.492
```

Computed properties:
- total energy (eV/cell) = -10.0
- calculated volume (Å³ per cell) = 101.8

Calculated formation energy in eV per atom, matching the order above: -0.01; 0.07
Energy relative to the lowest polymorph listed for this composition in meV per atom, matching the order above: 0; 58